This record from Alexandria describes a relaxed structure of BaLiZrCo2. The functional is PBE.

Geometry as extended XYZ:
```
5
Lattice="4.858 0.000 0.000 0.000 4.858 0.000 0.000 0.000 5.364" Properties=species:S:1:pos:R:3 pbc="T T T"
Ba 0.000 0.000 0.000
Li 2.429 2.429 2.682
Zr 0.000 0.000 2.682
Co 0.000 2.429 0.000
Co 2.429 0.000 0.000
```

Output
**Theoretical density**: 4.64 Mg/m³
**Electronic total energy**: -0.124 Ha/atom

This record from Alexandria describes a relaxed structure of BaLu3Co. The functional is PBE.

Geometry as extended XYZ:
```
5
Lattice="5.321 0.000 0.000 0.000 5.321 0.000 0.000 0.000 5.321" Properties=species:S:1:pos:R:3 pbc="T T T"
Ba 0.000 0.000 0.000
Lu 0.000 2.660 2.660
Lu 2.660 0.000 2.660
Lu 2.660 2.660 0.000
Co 2.660 2.660 2.660
```

Output
**Theoretical density**: 7.95 Mg/m³
**Electronic total energy**: -0.167 Ha/atom

This record from Alexandria describes a relaxed structure of BaMg2Co. The functional is PBE.

Geometry as extended XYZ:
```
4
Lattice="3.597 0.000 0.000 0.000 3.597 0.000 0.000 0.000 7.866" Properties=species:S:1:pos:R:3 pbc="T T T"
Ba 0.000 0.000 0.000
Mg 0.000 0.000 3.201
Mg 1.798 1.798 4.942
Co 1.798 1.798 2.267
```

Output
**Theoretical density**: 4.00 Mg/m³
**Electronic total energy**: -0.103 Ha/atom

This record from Alexandria describes a relaxed structure of BaMg3Co. The functional is PBE.

Geometry as extended XYZ:
```
5
Lattice="6.660 0.000 0.000 0.000 6.660 0.000 0.000 0.000 6.660" Properties=species:S:1:pos:R:3 pbc="T T T"
Ba 0.000 0.000 0.000
Mg 0.000 0.000 3.330
Mg 0.000 3.330 0.000
Mg 3.330 0.000 0.000
Co 3.330 3.330 3.330
```

Output
**Theoretical density**: 1.51 Mg/m³
**ΔE to the lowest computed polymorph**: 1614 meV/atom
**Electronic total energy**: -0.040 Ha/atom

This record from Alexandria describes a relaxed structure of BaMgCo. The functional is PBE.

Geometry as extended XYZ:
```
3
Lattice="0.000 3.800 3.800 3.800 0.000 3.800 3.800 3.800 0.000" Properties=species:S:1:pos:R:3 pbc="T T T"
Ba 0.000 0.000 0.000
Mg 5.700 5.700 5.700
Co 1.900 1.900 1.900
```

Output
**Theoretical density**: 3.34 Mg/m³
**Electronic total energy**: -0.089 Ha/atom

This record from Alexandria describes a relaxed structure of Ba2MgCo. The functional is PBE.

Geometry as extended XYZ:
```
4
Lattice="4.861 0.000 0.000 0.000 4.755 0.000 -2.422 0.000 6.394" Properties=species:S:1:pos:R:3 pbc="T T T"
Ba 0.000 0.000 0.000
Ba 0.003 2.378 3.561
Mg 2.434 2.378 1.095
Co 2.429 0.000 2.255
```

Output
**Theoretical density**: 4.02 Mg/m³
**Electronic total energy**: -0.104 Ha/atom

This record from Alexandria describes a relaxed structure of BaMg6Co. The functional is PBE.

Geometry as extended XYZ:
```
8
Lattice="4.809 0.000 0.000 0.000 3.085 7.118 0.000 -3.085 7.118" Properties=species:S:1:pos:R:3 pbc="T T T"
Ba 0.000 0.000 0.000
Mg 0.000 -1.462 10.478
Mg 0.000 1.462 10.478
Mg 2.404 -1.427 5.249
Mg 2.404 0.000 2.505
Mg 2.404 0.000 8.301
Mg 2.404 1.427 5.249
Co 0.000 0.000 5.375
```

Output
**Theoretical density**: 2.69 Mg/m³
**ΔE to the lowest computed polymorph**: 5 meV/atom
**Electronic total energy**: -0.078 Ha/atom

This record from Alexandria describes a relaxed structure of Ba2MgCo. The functional is PBE.

Geometry as extended XYZ:
```
4
Lattice="3.798 0.000 0.000 0.000 3.798 0.000 0.000 0.000 9.411" Properties=species:S:1:pos:R:3 pbc="T T T"
Ba 0.000 0.000 0.000
Ba 1.899 1.899 3.888
Mg 1.899 1.899 7.030
Co 0.000 0.000 6.184
```

Output
**Theoretical density**: 4.38 Mg/m³
**Electronic total energy**: -0.103 Ha/atom

This record from Alexandria describes a relaxed structure of BaMg2Co. The functional is PBE.

Geometry as extended XYZ:
```
4
Lattice="-1.658 2.704 5.597 1.658 -2.704 5.597 1.658 2.704 -5.597" Properties=species:S:1:pos:R:3 pbc="T T T"
Ba 0.000 0.000 0.000
Mg 1.658 0.000 3.485
Mg 0.000 2.704 2.112
Co 0.000 0.000 5.597
```

Output
**Theoretical density**: 4.05 Mg/m³
**Electronic total energy**: -0.102 Ha/atom

This record from Alexandria describes a relaxed structure of BaMgCo. The functional is PBE.

Geometry as extended XYZ:
```
3
Lattice="0.000 3.512 3.512 3.512 0.000 3.512 3.512 3.512 0.000" Properties=species:S:1:pos:R:3 pbc="T T T"
Ba 0.000 0.000 0.000
Mg 3.512 3.512 3.512
Co 5.267 5.267 5.267
```

Output
**Theoretical density**: 4.23 Mg/m³
**Electronic total energy**: -0.111 Ha/atom

This record from Alexandria describes a relaxed structure of BaMg4Co. The functional is PBE.

Geometry as extended XYZ:
```
6
Lattice="0.000 4.246 4.246 4.246 0.000 4.246 4.246 4.246 0.000" Properties=species:S:1:pos:R:3 pbc="T T T"
Ba 0.000 0.000 0.000
Mg 3.201 3.201 3.201
Mg 5.291 5.291 3.201
Mg 5.291 3.201 5.291
Mg 3.201 5.291 5.291
Co 6.369 6.369 6.369
```

Output
**Theoretical density**: 3.18 Mg/m³
**Electronic total energy**: -0.081 Ha/atom

This record from Alexandria describes a relaxed structure of Ba2MgCo. The functional is PBE.

Geometry as extended XYZ:
```
4
Lattice="-2.546 2.546 4.978 2.546 -2.546 4.978 2.546 2.546 -4.978" Properties=species:S:1:pos:R:3 pbc="T T T"
Ba 0.000 0.000 0.000
Ba 0.000 2.546 2.489
Mg 0.000 0.000 4.978
Co 2.546 0.000 2.489
```

Output
**Theoretical density**: 4.60 Mg/m³
**Electronic total energy**: -0.096 Ha/atom

| no. | total magnetic moment (μB per cell) | density of states at the Fermi level (states/eV/cell) |
| --- | --- | --- |
| 1 | 2.14 | 7.42 |
| 2 | 0.00 | 6.25 |
| 3 | 0.78 | 3.46 |
| 4 | 1.94 | 5.02 |
| 5 | 1.42 | 11.18 |
| 6 | 0.63 | 5.33 |
| 7 | 0.99 | 6.25 |
| 8 | 1.32 | 4.51 |
| 9 | 0.00 | 2.27 |
| 10 | 0.84 | 5.28 |
| 11 | 1.03 | 7.75 |
| 12 | 1.17 | 7.25 |